Here is a crystal of TbIr2 relaxed with PBEsol from the Alexandria database. Energies are from meta-GGA SCAN.

Cell: 5.3001 5.3001 5.3001 Å, 60.00 60.00 60.00°
Closest atoms and distances in Å follow each position.
Fractional coordinates of all 6 atoms:
Ir1 0.1250 0.6250 0.6250  6 Ir 2.65
Ir2 0.6250 0.1250 0.6250  6 Ir 2.65
Ir3 0.6250 0.6250 0.6250  6 Ir 2.65
Ir4 0.6250 0.6250 0.1250  6 Ir 2.65
Tb1 0.0000 0.0000 0.0000  12 Ir 3.11, 4 Tb 3.25
Tb2 0.2500 0.2500 0.2500  12 Ir 3.11, 4 Tb 3.25

Output
volume: 17.5 Å³ per atom
SG: Fd-3m
mass density: 17.14 g/cm³
electronic total energy: -383.78 eV for the cell shown
crystal system: cubic



Here is a crystal of Tb3Ir2 relaxed with PBEsol from the Alexandria database. Energies are from meta-GGA SCAN.

Cell: 11.1063 11.1063 14.7138 Å, 112.17 112.17 90.00°
Closest atoms and distances in Å follow each position.
Fractional coordinates of all 70 atoms:
Tb1 0.8661 0.1445 0.1440  4 Ir 2.85-3.01
Tb2 0.5165 0.2261 0.6117  5 Ir 2.73-3.03
Tb3 0.4835 0.7739 0.3883  5 Ir 2.73-3.03
Tb4 0.9995 0.8661 0.1440  4 Ir 2.85-3.01
Tb5 0.6445 0.3661 0.1440  4 Ir 2.85-3.01
Tb6 0.7778 0.6445 0.1440  4 Ir 2.85-3.01
Tb7 0.1528 0.6528 0.0000  4 Ir 2.69-2.83
Tb8 0.5951 0.7261 0.6117  5 Ir 2.73-3.03
Tb9 0.4049 0.2739 0.3883  5 Ir 2.73-3.03
Tb10 0.6339 0.5005 0.8560  4 Ir 2.85-3.01
Tb11 0.0165 0.8855 0.6117  5 Ir 2.73-3.03
Tb12 0.2739 0.9835 0.3883  5 Ir 2.73-3.03
Tb13 0.1145 0.4049 0.3883  5 Ir 2.73-3.03
Tb14 0.1129 0.6129 0.2258  6 Ir 2.85-3.18
Tb15 0.5005 0.2222 0.8560  4 Ir 2.85-3.01
Tb16 0.6129 0.1129 0.2258  6 Ir 2.85-3.18
Tb17 0.8472 0.3472 0.0000  4 Ir 2.69-2.83
Tb18 0.3855 0.5165 0.6117  5 Ir 2.73-3.03
Tb19 0.6528 0.8472 0.0000  4 Ir 2.69-2.83
Tb20 0.2778 0.9995 0.1440  4 Ir 2.85-3.01
Tb21 0.0005 0.1339 0.8560  4 Ir 2.85-3.01
Tb22 0.8855 0.5951 0.6117  5 Ir 2.73-3.03
Tb23 0.1445 0.2778 0.1440  4 Ir 2.85-3.01
Tb24 0.7500 0.2500 0.5000  4 Ir 2.88
Tb25 0.8871 0.3871 0.7742  6 Ir 2.85-3.18
Tb26 0.2261 0.0951 0.6117  5 Ir 2.73-3.03
Tb27 0.4995 0.7778 0.1440  4 Ir 2.85-3.01
Tb28 0.3871 0.8871 0.7742  6 Ir 2.85-3.18
Tb29 0.3472 0.1528 0.0000  4 Ir 2.69-2.83
Tb30 0.7739 0.9049 0.3883  5 Ir 2.73-3.03
Tb31 0.1339 0.8555 0.8560  4 Ir 2.85-3.01
Tb32 0.8555 0.7222 0.8560  4 Ir 2.85-3.01
Tb33 0.6145 0.4835 0.3883  5 Ir 2.73-3.03
Tb34 0.0951 0.3855 0.6117  5 Ir 2.73-3.03
Tb35 0.9049 0.6145 0.3883  5 Ir 2.73-3.03
Tb36 0.2500 0.7500 0.5000  4 Ir 2.88
Tb37 0.9835 0.1145 0.3883  5 Ir 2.73-3.03
Tb38 0.3661 0.4995 0.1440  4 Ir 2.85-3.01
Tb39 0.2222 0.3555 0.8560  4 Ir 2.85-3.01
Tb40 0.7222 0.0005 0.8560  4 Ir 2.85-3.01
Tb41 0.3555 0.6339 0.8560  4 Ir 2.85-3.01
Tb42 0.7261 0.0165 0.6117  5 Ir 2.73-3.03
Ir1 0.6593 0.4670 0.6262  6 Tb 2.88-3.04
Ir2 0.5000 0.5000 0.0000  8 Tb 3.01, 2 Ir 3.32
Ir3 0.9670 0.1593 0.6262  6 Tb 2.88-3.04
Ir4 0.9047 0.5953 0.0000  6 Tb 2.83-2.85, 1 Ir 2.99
Ir5 0.8407 0.3407 0.3738  6 Tb 2.88-3.04
Ir6 0.4255 0.2875 0.2130  6 Tb 2.69-2.88
Ir7 0.1333 0.1333 0.2667  8 Tb 2.86-2.92, 1 Ir 2.90
Ir8 0.0745 0.5745 0.7870  6 Tb 2.69-2.88
Ir9 0.5745 0.7125 0.7870  6 Tb 2.69-2.88
Ir10 0.2875 0.7875 0.2130  6 Tb 2.69-2.88
Ir11 0.0000 0.0000 0.0000  8 Tb 3.01, 2 Ir 3.32
Ir12 0.4670 0.9670 0.6262  6 Tb 2.88-3.04
Ir13 0.7500 0.7500 0.5000  8 Tb 2.86, 2 Ir 2.90
Ir14 0.0330 0.8407 0.3738  6 Tb 2.88-3.04
Ir15 0.2125 0.0745 0.7870  6 Tb 2.69-2.88
Ir16 0.7875 0.9255 0.2130  6 Tb 2.69-2.88
Ir17 0.4047 0.9047 0.0000  6 Tb 2.83-2.85, 1 Ir 2.99
Ir18 0.3407 0.5330 0.3738  6 Tb 2.88-3.04
Ir19 0.7125 0.2125 0.7870  6 Tb 2.69-2.88
Ir20 0.1593 0.6593 0.6262  6 Tb 2.88-3.04
Ir21 0.9255 0.4255 0.2130  6 Tb 2.69-2.88
Ir22 0.8667 0.8667 0.7333  8 Tb 2.86-2.92, 1 Ir 2.90
Ir23 0.6333 0.6333 0.2667  8 Tb 2.86-2.92, 1 Ir 2.90
Ir24 0.2500 0.2500 0.5000  8 Tb 2.86, 2 Ir 2.90
Ir25 0.3667 0.3667 0.7333  8 Tb 2.86-2.92, 1 Ir 2.90
Ir26 0.5953 0.0953 0.0000  6 Tb 2.83-2.85, 1 Ir 2.99
Ir27 0.0953 0.4047 0.0000  6 Tb 2.83-2.85, 1 Ir 2.99
Ir28 0.5330 0.0330 0.3738  6 Tb 2.88-3.04

Output
volume: 21.9 Å³ per atom
SG: I4/mcm
mass density: 13.04 g/cm³
electronic total energy: -4021.29 eV for the cell shown
crystal system: tetragonal



Here is a crystal of Tb3Ir relaxed with PBEsol from the Alexandria database. Energies are from meta-GGA SCAN.

Cell: 6.2551 7.1252 9.2557 Å, 90.00 90.00 90.00°
Closest atoms and distances in Å follow each position.
Fractional coordinates of all 16 atoms:
Ir1 0.5533 0.6176 0.7500  6 Tb 2.75-2.85
Ir2 0.4467 0.3824 0.2500  6 Tb 2.75-2.85
Ir3 0.0533 0.8824 0.2500  6 Tb 2.75-2.85
Ir4 0.9467 0.1176 0.7500  6 Tb 2.75-2.85
Tb1 0.3287 0.6770 0.0623  2 Ir 2.82-2.85
Tb2 0.3287 0.6770 0.4377  2 Ir 2.82-2.85
Tb3 0.6713 0.3230 0.5623  2 Ir 2.82-2.85
Tb4 0.8287 0.8230 0.5623  2 Ir 2.82-2.85
Tb5 0.1333 0.4665 0.7500  2 Ir 2.75-2.84
Tb6 0.1713 0.1770 0.4377  2 Ir 2.82-2.85
Tb7 0.8287 0.8230 0.9377  2 Ir 2.82-2.85
Tb8 0.1713 0.1770 0.0623  2 Ir 2.82-2.85
Tb9 0.3667 0.9665 0.7500  2 Ir 2.75-2.84
Tb10 0.6333 0.0335 0.2500  2 Ir 2.75-2.84
Tb11 0.6713 0.3230 0.9377  2 Ir 2.82-2.85
Tb12 0.8667 0.5335 0.2500  2 Ir 2.75-2.84

Output
volume: 25.8 Å³ per atom
SG: Pnma
mass density: 10.77 g/cm³
electronic total energy: -856.74 eV for the cell shown
crystal system: orthorhombic



Here is a crystal of TbTmIr2 relaxed with PBEsol from the Alexandria database. Energies are from meta-GGA SCAN.

Cell: 4.7551 4.7551 4.7551 Å, 60.00 60.00 60.00°
Closest atoms and distances in Å follow each position.
Fractional coordinates of all 4 atoms:
Ir1 0.7500 0.7500 0.7500  4 Tm 2.91, 4 Tb 2.91
Ir2 0.2500 0.2500 0.2500  4 Tb 2.91, 4 Tm 2.91
Tm1 0.0000 0.0000 0.0000  8 Ir 2.91
Tb1 0.5000 0.5000 0.5000  8 Ir 2.91

Output
volume: 19.0 Å³ per atom
SG: Fm-3m
mass density: 15.56 g/cm³
electronic total energy: -244.91 eV for the cell shown
crystal system: cubic



Here is a crystal of Tb2ZnIr relaxed with PBEsol from the Alexandria database. Energies are from meta-GGA SCAN.

Cell: 4.8692 4.8692 4.8692 Å, 60.00 60.00 60.00°
Closest atoms and distances in Å follow each position.
Fractional coordinates of all 4 atoms:
Zn1 0.0000 0.0000 0.0000  8 Tb 2.98
Tb1 0.7500 0.7500 0.7500  4 Ir 2.98, 4 Zn 2.98
Tb2 0.2500 0.2500 0.2500  4 Zn 2.98, 4 Ir 2.98
Ir1 0.5000 0.5000 0.5000  8 Tb 2.98

Output
volume: 20.4 Å³ per atom
SG: Fm-3m
mass density: 11.71 g/cm³
electronic total energy: -181.16 eV for the cell shown
crystal system: cubic



Here is a crystal of TcIr relaxed with PBEsol from the Alexandria database. Energies are from meta-GGA SCAN.

Cell: 2.7227 4.3120 4.7416 Å, 90.00 90.00 90.00°
Closest atoms and distances in Å follow each position.
Fractional coordinates of all 4 atoms:
Tc1 0.0000 0.5000 0.9143  6 Ir 2.67-2.75, 6 Tc 2.68-2.72
Tc2 0.5000 0.0000 0.0857  6 Ir 2.67-2.75, 6 Tc 2.68-2.72
Ir1 0.5000 0.5000 0.4171  6 Tc 2.67-2.75, 6 Ir 2.67-2.72
Ir2 0.0000 0.0000 0.5829  6 Tc 2.67-2.75, 6 Ir 2.67-2.72

Output
volume: 13.9 Å³ per atom
SG: Pmmn
mass density: 17.31 g/cm³
E above lowest polymorph: 11.3 kJ/mol of atoms
crystal system: orthorhombic



Here is a crystal of TcIr5 relaxed with PBEsol from the Alexandria database. Energies are from meta-GGA SCAN.

Cell: 4.3638 4.7209 4.7209 Å, 120.00 90.00 90.00°
Closest atoms and distances in Å follow each position.
Fractional coordinates of all 6 atoms:
Ir1 0.0000 0.3335 0.3335  10 Ir 2.69-2.73, 2 Tc 2.69
Ir2 0.5000 0.6667 0.3333  9 Ir 2.69-2.73, 3 Tc 2.73
Ir3 0.0000 0.6665 0.0000  10 Ir 2.69-2.73, 2 Tc 2.69
Ir4 0.0000 0.0000 0.6665  10 Ir 2.69-2.73, 2 Tc 2.69
Ir5 0.5000 0.3333 0.6667  9 Ir 2.69-2.73, 3 Tc 2.73
Tc1 0.5000 0.0000 0.0000  12 Ir 2.69-2.73

Output
volume: 14.0 Å³ per atom
SG: P-62m
mass density: 20.88 g/cm³
E above lowest polymorph: 4.0 kJ/mol of atoms
crystal system: hexagonal



Here is a crystal of TcIr relaxed with PBEsol from the Alexandria database. Energies are from meta-GGA SCAN.

Cell: 2.7146 5.1133 6.4194 Å, 103.27 90.00 105.39°
Closest atoms and distances in Å follow each position.
Fractional coordinates of all 6 atoms:
Tc1 0.7234 0.4468 0.9445  7 Ir 2.65-2.73, 5 Tc 2.68-2.74
Tc2 0.0538 0.1076 0.6112  6 Ir 2.66-2.72, 6 Tc 2.69-2.74
Tc3 0.6667 0.3335 0.3329  7 Ir 2.67-2.71, 5 Tc 2.68-2.71
Ir1 0.0043 0.0086 0.0011  6 Tc 2.65-2.71, 6 Ir 2.70-2.77
Ir2 0.3885 0.7770 0.2786  7 Tc 2.67-2.73, 5 Ir 2.68-2.71
Ir3 0.3299 0.6598 0.6650  7 Tc 2.66-2.71, 5 Ir 2.68-2.77

Output
volume: 13.9 Å³ per atom
SG: Cm
mass density: 17.33 g/cm³
E above lowest polymorph: 8.2 kJ/mol of atoms
crystal system: monoclinic



Here is a crystal of Tc3Ir relaxed with PBEsol from the Alexandria database. Energies are from meta-GGA SCAN.

Cell: 2.7040 2.7040 7.6508 Å, 90.00 90.00 90.00°
Closest atoms and distances in Å follow each position.
Fractional coordinates of all 4 atoms:
Tc1 0.5000 0.5000 0.2526  8 Tc 2.69-2.70, 4 Ir 2.72
Tc2 0.5000 0.5000 0.7474  8 Tc 2.69-2.70, 4 Ir 2.72
Tc3 0.0000 0.0000 0.5000  12 Tc 2.69-2.70
Ir1 0.0000 0.0000 0.0000  4 Ir 2.70, 8 Tc 2.72

Output
volume: 14.0 Å³ per atom
SG: P4/mmm
mass density: 14.43 g/cm³
E above lowest polymorph: 14.8 kJ/mol of atoms
crystal system: tetragonal



Here is a crystal of Tc3Ir relaxed with PBEsol from the Alexandria database. Energies are from meta-GGA SCAN.

Cell: 5.4419 5.4419 8.6832 Å, 90.00 90.00 120.00°
Closest atoms and distances in Å follow each position.
Fractional coordinates of all 16 atoms:
Tc1 0.0000 0.5000 0.0000  8 Tc 2.67-2.72, 4 Ir 2.68-2.72
Tc2 0.1693 0.3387 0.7500  8 Tc 2.67-2.76, 4 Ir 2.69-2.72
Tc3 0.5000 0.5000 0.5000  8 Tc 2.67-2.72, 4 Ir 2.68-2.72
Tc4 0.8307 0.6613 0.2500  8 Tc 2.67-2.76, 4 Ir 2.69-2.72
Tc5 0.1693 0.8307 0.7500  8 Tc 2.67-2.76, 4 Ir 2.69-2.72
Tc6 0.5000 0.0000 0.0000  8 Tc 2.67-2.72, 4 Ir 2.68-2.72
Tc7 0.6613 0.8307 0.7500  8 Tc 2.67-2.76, 4 Ir 2.69-2.72
Tc8 0.0000 0.5000 0.5000  8 Tc 2.67-2.72, 4 Ir 2.68-2.72
Tc9 0.3387 0.1693 0.2500  8 Tc 2.67-2.76, 4 Ir 2.69-2.72
Tc10 0.8307 0.1693 0.2500  8 Tc 2.67-2.76, 4 Ir 2.69-2.72
Tc11 0.5000 0.0000 0.5000  8 Tc 2.67-2.72, 4 Ir 2.68-2.72
Tc12 0.5000 0.5000 0.0000  8 Tc 2.67-2.72, 4 Ir 2.68-2.72
Ir1 0.6667 0.3333 0.7500  12 Tc 2.68-2.72
Ir2 0.0000 0.0000 0.5000  12 Tc 2.69-2.72
Ir3 0.0000 0.0000 0.0000  12 Tc 2.69-2.72
Ir4 0.3333 0.6667 0.2500  12 Tc 2.68-2.72

Output
volume: 13.9 Å³ per atom
SG: P6_3/mmc
mass density: 14.50 g/cm³
E above lowest polymorph: 1.2 kJ/mol of atoms
crystal system: hexagonal



Here is a crystal of TcIr2 relaxed with PBEsol from the Alexandria database. Energies are from meta-GGA SCAN.

Cell: 4.3313 4.7118 8.1977 Å, 90.00 90.00 90.00°
Closest atoms and distances in Å follow each position.
Fractional coordinates of all 12 atoms:
Ir1 0.2500 0.1634 0.1666  7 Ir 2.67-2.75, 5 Tc 2.68-2.73
Ir2 0.2500 0.6686 0.9982  7 Ir 2.67-2.75, 5 Tc 2.68-2.72
Ir3 0.2500 0.6634 0.3334  7 Ir 2.67-2.75, 5 Tc 2.68-2.73
Ir4 0.7500 0.8366 0.8334  7 Ir 2.67-2.75, 5 Tc 2.68-2.73
Ir5 0.7500 0.8314 0.4982  7 Ir 2.67-2.75, 5 Tc 2.68-2.72
Ir6 0.7500 0.3314 0.0018  7 Ir 2.67-2.75, 5 Tc 2.68-2.72
Ir7 0.7500 0.3366 0.6666  7 Ir 2.67-2.75, 5 Tc 2.68-2.73
Ir8 0.2500 0.1686 0.5018  7 Ir 2.67-2.75, 5 Tc 2.68-2.72
Tc1 0.7500 0.3300 0.3335  10 Ir 2.68-2.73, 2 Tc 2.72
Tc2 0.2500 0.1700 0.8335  10 Ir 2.68-2.73, 2 Tc 2.72
Tc3 0.7500 0.8300 0.1665  10 Ir 2.68-2.73, 2 Tc 2.72
Tc4 0.2500 0.6700 0.6665  10 Ir 2.68-2.73, 2 Tc 2.72

Output
volume: 13.9 Å³ per atom
SG: Pnma
mass density: 19.15 g/cm³
E above lowest polymorph: 1.7 kJ/mol of atoms
crystal system: orthorhombic



Here is a crystal of Tc5Ir relaxed with PBEsol from the Alexandria database. Energies are from meta-GGA SCAN.

Cell: 2.7171 4.3262 7.2344 Å, 90.00 100.82 90.00°
Closest atoms and distances in Å follow each position.
Fractional coordinates of all 6 atoms:
Tc1 0.3343 0.0000 0.6686  10 Tc 2.67-2.74, 2 Ir 2.71
Tc2 0.4440 0.5000 0.8881  8 Tc 2.67-2.75, 4 Ir 2.67
Tc3 0.1121 0.5000 0.2243  10 Tc 2.67-2.75, 2 Ir 2.70
Tc4 0.6671 0.0000 0.3343  10 Tc 2.67-2.74, 2 Ir 2.75
Tc5 0.7767 0.5000 0.5535  12 Tc 2.67-2.74
Ir1 0.9990 0.0000 0.9980  10 Tc 2.67-2.75, 2 Ir 2.72

Output
volume: 13.9 Å³ per atom
SG: Amm2
mass density: 13.56 g/cm³
E above lowest polymorph: 1.7 kJ/mol of atoms
crystal system: orthorhombic